1.
This record from Alexandria describes an optimized crystal structure of PmDyGaNi. The functional is PBE-GGA.

The space group is F-43m (No. 216) and the conventional cell measures 7.081, 7.081 and 7.081 Å, with angles of 90.00, 90.00 and 90.00 degrees. The inequivalent atoms are Pm at (0.000, 0.000, 0.000), Dy at (0.000, 0.000, 0.500), Ga at (0.250, 0.250, 0.750) and Ni at (0.250, 0.250, 0.250).

The value obtained for the density of states at the Fermi level is 15.7 states/eV/cell. The calculation puts the energy above the most stable polymorph in this dataset at 0.058 eV per atom. As for the energy of formation from the pure elements: -0.40 eV per atom.

2.
This record from Alexandria describes an optimized crystal structure of TaAl2Zn. The functional is PBE-GGA.

The space group is I4/mmm (No. 139) and the conventional cell measures 3.840, 3.840 and 8.664 Å, with angles of 90.00, 90.00 and 90.00 degrees. The inequivalent atoms are Ta at (0.000, 0.000, 0.000), Al at (0.000, 0.500, 0.250) and Zn at (0.000, 0.000, 0.500).

The value obtained for the density of states at the Fermi level is 4.0 states/eV/cell. As for the energy of formation from the pure elements: -0.19 eV per atom.

3.
This record from Alexandria describes an optimized crystal structure of K2RbInCl6. The functional is PBE-GGA.

The space group is R3 (No. 146, hexagonal axes) and the conventional cell measures 7.7123, 7.7123 and 19.8674 Å, with angles of 90.00, 90.00 and 120.00 degrees. The inequivalent atoms are K at (0.0000, 0.0000, 0.0000), K at (0.0000, 0.0000, 0.4901), Rb at (0.0000, 0.0000, 0.2089), In at (0.0000, 0.0000, 0.6983), Cl at (0.0370, 0.2950, 0.7686) and Cl at (0.0771, 0.6823, 0.2857).

The value obtained for the density of states at the Fermi level is 0.0 states/eV/cell. Its uncorrected formation energy is -1641 meV per atom. The calculation puts the energy above the most stable polymorph in this dataset at 0.000 eV per atom.